Record 1
Density functional theory data (PBE) for Er3AgHg2 after structural relaxation.

The total magnetization comes out at 0.000 μB per formula unit. The volume is 24.56 Å³ per atom. As for the crystal system: tetragonal. The value obtained for the energy above the lowest structure with this stoichiometry is 0.5 kJ per mole of atoms.

It has space group P4/mmm (No. 123), with a = 3.662 Å, b = 3.662 Å, c = 10.989 Å, α = 90.00°, β = 90.00° and γ = 90.00°. Symmetry generates all atoms from Er at (0.000, 0.000, 0.000), Er at (0.000, 0.000, 0.339), Ag at (0.500, 0.500, 0.500) and Hg at (0.500, 0.500, 0.168).

Record 2
Density functional theory data (PBE) for Er2AgHg after structural relaxation.

The total magnetization comes out at 0.000 μB per formula unit. As for the total energy: -3.480 eV/atom. The volume is 24.26 Å³ per atom. As for the crystal system: cubic.

It has space group Fm-3m (No. 225), with a = 7.294 Å, b = 7.294 Å, c = 7.294 Å, α = 90.00°, β = 90.00° and γ = 90.00°. Symmetry generates all atoms from Er at (0.250, 0.250, 0.250), Ag at (0.000, 0.000, 0.000) and Hg at (0.000, 0.000, 0.500).

Record 3
Density functional theory data (PBE) for Er2AgHg2 after structural relaxation.

The total magnetization comes out at 0.000 μB per formula unit. The volume is 25.19 Å³ per atom. As for the crystal system: orthorhombic. The value obtained for the energy above the lowest structure with this stoichiometry is 10.0 kJ per mole of atoms.

It has space group Ibam (No. 72), with a = 6.650 Å, b = 12.803 Å, c = 5.917 Å, α = 90.00°, β = 90.00° and γ = 90.00°. Symmetry generates all atoms from Er at (0.234, 0.166, 0.000), Ag at (0.000, 0.000, 0.250) and Hg at (0.165, 0.402, 0.000).

Record 4
Density functional theory data (PBE) for Er4AgHg after structural relaxation.

The total magnetization comes out at 0.000 μB per formula unit. As for the total energy: -3.611 eV/atom. The volume is 29.69 Å³ per atom. As for the crystal system: tetragonal.

It has space group P4/mmm (No. 123), with a = 4.996 Å, b = 4.996 Å, c = 7.137 Å, α = 90.00°, β = 90.00° and γ = 90.00°. Symmetry generates all atoms from Er at (0.000, 0.500, 0.246), Ag at (0.000, 0.000, 0.000) and Hg at (0.500, 0.500, 0.500).